PBE ReSeS, optimized geometry; volume = 144 Å³/cell; electronic total energy = -6.83 eV/atom; energy relative to the elements, uncorrected = -0.147 eV per atom; symmetry = No. 2
1.0
3.1666 0.0000 0.0000
1.5751 6.6919 0.0000
1.5828 0.6084 6.7764
Re Se S
2 2 2
direct
0.1288 0.1597 0.0832
0.8712 0.8403 0.9168
0.2419 0.8083 0.2075
0.7581 0.1917 0.7925
0.4610 0.3036 0.2758
0.5390 0.6964 0.7242